# 1
MnAlCu4 (PBE, optimized geometry); theoretical density = 7.3 Mg/m³; E_tot = -29.81 eV for the cell shown; calculated volume = 12.659 Å³/atom
1.0
-1.896 3.845 0.169
-2.183 -3.560 2.045
2.052 0.851 3.671
Cu Al Mn
4 1 1
direct
0.331 0.661 0.000
0.168 0.336 0.500
0.669 0.339 0.000
0.832 0.664 0.500
0.000 0.000 0.000
0.500 0.000 0.500


# 2
Ga3Co2Cu (PBE, optimized geometry); theoretical density = 8.6 Mg/m³; E_tot = -28.47 eV for the cell shown; calculated volume = 12.577 Å³/atom
1.0
2.888 0.000 0.000
0.000 2.888 0.000
0.000 0.000 9.051
Ga Co Cu
3 2 1
direct
0.000 0.000 0.000
0.000 0.000 0.320
0.000 0.000 0.680
0.500 0.500 0.161
0.500 0.500 0.839
0.500 0.500 0.500


# 3
SnSb2TePt (PBE, optimized geometry); energy relative to the elements, uncorrected = 1.38 eV/f.u.; theoretical density = 7.5 Mg/m³; E_tot = -20.05 eV for the cell shown; calculated volume = 30.312 Å³/atom; energy above the most stable polymorph in this dataset = 0 meV/atom
1.0
-3.559 3.377 -1.765
-1.578 -3.504 -3.524
-3.708 -2.001 3.649
Sb Pt Sn Te
2 1 1 1
direct
0.500 0.000 0.000
0.000 0.500 0.000
0.000 0.000 0.000
0.500 0.500 0.500
0.000 0.000 0.500


# 4
Ta2NbZn (PBE, optimized geometry); theoretical density = 12.5 Mg/m³; E_tot = -35.03 eV for the cell shown; calculated volume = 17.309 Å³/atom
1.0
-0.638 1.833 -2.759
1.078 -2.541 -1.938
-5.650 -2.252 -0.191
Zn Ta Nb
1 2 1
direct
0.500 0.500 0.000
0.000 0.000 0.753
0.000 0.000 0.247
0.500 0.500 0.500